Entry from the Alexandria database: a relaxed CsBaIn2Br8 crystal (PBE).

Cell and atoms, written as CIF:
```
data_CsBaIn2Br8
_chemical_formula_sum 'Cs1 Ba1 In2 Br8'
_cell_length_a 7.4295
_cell_length_b 7.4295
_cell_length_c 11.1080
_cell_angle_alpha 90.00
_cell_angle_beta 90.00
_cell_angle_gamma 120.00
_space_group_name_H-M_alt 'P -3'
_space_group_IT_number 147
loop_
_space_group_symop_operation_xyz
'x,y,z'
'-x,-y,-z'
'-y,x-y,z'
'y,-x+y,-z'
'-x+y,-x,z'
'x-y,x,-z'
loop_
_atom_site_label
_atom_site_fract_x
_atom_site_fract_y
_atom_site_fract_z
Cs1 0.0000 0.0000 0.0000
Ba1 0.0000 0.0000 0.5000
In1 0.3333 0.6667 0.7638
Br1 0.0124 0.6742 0.3086
Br2 0.3333 0.6667 0.9971
```

Computed properties:
density of states at the Fermi level	7.7	states/eV per cell
uncorrected formation energy	-14.72	eV per formula unit
size of the total moment	0.03	μB per atom